GGA-PBE SmGa2GeOs2, optimized geometry; calculated volume = 118.22 Å³/cell; total energy = -6.2130 eV per atom; symmetry = P4/mmm (123)
1.0
4.577 0.000 0.000
0.000 4.577 0.000
0.000 0.000 5.643
Os Ga Sm Ge
2 2 1 1
Direct
0.500 0.000 0.000 Os
0.000 0.500 0.000 Os
0.500 0.500 0.731 Ga
0.500 0.500 0.269 Ga
0.000 0.000 0.500 Sm
0.000 0.000 0.000 Ge